Record 1
A relaxed structure of Sr2Sn2Pb. Source: the Alexandria database, functional PBE.

Calculated values
* electronic total energy: -0.2592 Ry per atom
* energy of formation from the pure elements: -0.5109 eV/atom

The structure in extended XYZ format:
```
5
Lattice="2.206 -8.245 0.000 2.206 8.245 0.000 0.000 0.000 4.774" Properties=species:S:1:pos:R:3 pbc="T T T"
Sr 2.206 6.144 0.000
Sr 2.206 -6.144 0.000
Sn 2.206 3.209 2.387
Sn 2.206 -3.209 2.387
Pb 2.206 0.000 2.387
```



Record 2
A relaxed structure of Sr3Sn7Pb2. Source: the Alexandria database, functional PBE.

Calculated values
* electronic total energy: -0.2698 Ry per atom
* energy of formation from the pure elements: -0.2969 eV/atom

The structure in extended XYZ format:
```
12
Lattice="3.129 1.806 11.385 -3.129 1.806 11.385 0.000 -3.613 11.385" Properties=species:S:1:pos:R:3 pbc="T T T"
Sr 0.000 0.000 0.000
Sr 0.000 0.000 4.824
Sr 0.000 0.000 29.332
Sn -1.572 -0.907 14.328
Sn 0.000 -1.815 19.827
Sn -1.572 0.907 19.827
Sn 0.000 0.000 17.078
Sn 1.572 -0.907 14.328
Sn 0.000 1.815 14.328
Sn 1.572 0.907 19.827
Pb 0.000 0.000 11.353
Pb 0.000 0.000 22.802
```



Record 3
A relaxed structure of Sr5SnPb2. Source: the Alexandria database, functional PBE.

Calculated values
* electronic total energy: -0.2233 Ry per atom
* energy of formation from the pure elements: -0.5602 eV/atom

The structure in extended XYZ format:
```
16
Lattice="-4.343 4.343 8.243 4.343 -4.343 8.243 4.343 4.343 -8.243" Properties=species:S:1:pos:R:3 pbc="T T T"
Sr 0.000 0.000 0.000
Sr 5.861 1.518 -2.375
Sr 1.518 2.826 -2.375
Sr 5.861 1.518 2.375
Sr 1.518 2.826 2.375
Sr 0.000 0.000 8.243
Sr 2.826 1.518 5.868
Sr -1.518 2.826 5.868
Sr 2.826 1.518 10.618
Sr -1.518 2.826 10.618
Sn 0.000 0.000 4.121
Sn 0.000 0.000 12.364
Pb 3.255 1.089 0.000
Pb 3.255 -1.089 8.243
Pb 1.089 5.432 0.000
Pb 1.089 3.255 8.243
```



Record 4
A relaxed structure of SrSn4Pb. Source: the Alexandria database, functional PBE.

Calculated values
* electronic total energy: -0.2792 Ry per atom
* energy of formation from the pure elements: -0.2312 eV/atom
* relative energy among the computed polymorphs: 0.00 eV per formula unit

The structure in extended XYZ format:
```
6
Lattice="-2.730 3.365 4.814 2.730 -3.365 4.814 2.730 3.365 -4.814" Properties=species:S:1:pos:R:3 pbc="T T T"
Sr 0.000 0.000 0.000
Sn 2.730 1.786 -1.617
Sn 2.730 1.786 1.617
Sn 0.000 1.579 3.198
Sn 0.000 1.579 6.431
Pb 0.000 3.365 0.000
```



Record 5
A relaxed structure of Sr2SnPb. Source: the Alexandria database, functional PBE.

Calculated values
* electronic total energy: -0.2441 Ry per atom
* energy of formation from the pure elements: -0.5526 eV/atom
* relative energy among the computed polymorphs: 0.24 eV per formula unit

The structure in extended XYZ format:
```
4
Lattice="3.727 0.000 0.000 0.000 3.727 0.000 0.000 0.000 9.581" Properties=species:S:1:pos:R:3 pbc="T T T"
Sr 0.000 0.000 2.334
Sr 0.000 0.000 7.247
Sn 1.864 1.864 0.000
Pb 1.864 1.864 4.790
```



Record 6
A relaxed structure of Sr5Sn2Pb2. Source: the Alexandria database, functional PBE.

Calculated values
* electronic total energy: -0.2349 Ry per atom
* energy of formation from the pure elements: -0.5474 eV/atom

The structure in extended XYZ format:
```
18
Lattice="9.132 -4.302 0.000 9.132 4.302 0.000 0.000 0.000 8.552" Properties=species:S:1:pos:R:3 pbc="T T T"
Sr 0.000 0.000 0.000
Sr 6.702 2.731 5.820
Sr 6.702 1.572 1.544
Sr 11.562 2.731 5.820
Sr 11.562 1.572 1.544
Sr 9.132 0.000 4.276
Sr 6.702 -1.572 7.008
Sr 6.702 -2.731 2.732
Sr 11.562 -1.572 7.008
Sr 11.562 -2.731 2.732
Sn 9.132 3.280 3.254
Sn 9.132 1.022 7.530
Sn 9.132 -1.022 1.022
Sn 9.132 -3.280 5.298
Pb 4.080 0.000 0.000
Pb 5.052 0.000 4.276
Pb 13.212 0.000 4.276
Pb 14.184 0.000 0.000
```



Record 7
A relaxed structure of Sr2SnPb2. Source: the Alexandria database, functional PBE.

Calculated values
* electronic total energy: -0.2516 Ry per atom
* energy of formation from the pure elements: -0.4666 eV/atom
* relative energy among the computed polymorphs: 0.00 eV per formula unit

The structure in extended XYZ format:
```
10
Lattice="6.216 -2.566 0.000 6.216 2.566 0.000 -4.528 0.000 10.933" Properties=species:S:1:pos:R:3 pbc="T T T"
Sr -0.678 0.000 1.967
Sr -0.569 0.000 6.621
Sr 8.473 0.000 4.312
Sr 8.582 0.000 8.966
Sn 2.903 0.000 2.002
Sn 5.002 0.000 8.930
Pb 0.143 0.000 10.351
Pb 2.895 0.000 6.620
Pb 5.010 0.000 4.313
Pb 7.762 0.000 0.582
```



Record 8
A relaxed structure of Sr4SnPb3. Source: the Alexandria database, functional PBE.

Calculated values
* electronic total energy: -0.2394 Ry per atom
* energy of formation from the pure elements: -0.5259 eV/atom

The structure in extended XYZ format:
```
8
Lattice="2.905 1.677 9.510 -2.905 1.677 9.510 0.000 -3.354 9.510" Properties=species:S:1:pos:R:3 pbc="T T T"
Sr 0.000 0.000 3.509
Sr 0.000 0.000 10.646
Sr 0.000 0.000 17.885
Sr 0.000 0.000 25.022
Sn 0.000 0.000 0.000
Pb 0.000 0.000 7.075
Pb 0.000 0.000 14.266
Pb 0.000 0.000 21.456
```



Record 9
A relaxed structure of Sr2SnPb. Source: the Alexandria database, functional PBE.

Calculated values
* electronic total energy: -0.2194 Ry per atom
* energy of formation from the pure elements: -0.2162 eV/atom
* relative energy among the computed polymorphs: 1.58 eV per formula unit

The structure in extended XYZ format:
```
8
Lattice="-4.540 4.540 3.602 4.540 -4.540 3.602 4.540 4.540 -3.602" Properties=species:S:1:pos:R:3 pbc="T T T"
Sr 2.270 2.230 -0.900
Sr 2.310 -2.270 4.502
Sr 2.270 2.310 2.701
Sr 2.230 6.810 0.900
Sn 0.000 0.000 0.000
Sn 0.000 4.540 1.801
Pb 4.540 0.000 1.801
Pb 0.000 0.000 3.602
```



Record 10
A relaxed structure of Sr2Sn2Pb. Source: the Alexandria database, functional PBE.

Calculated values
* electronic total energy: -0.2298 Ry per atom
* energy of formation from the pure elements: -0.1109 eV/atom

The structure in extended XYZ format:
```
5
Lattice="-2.686 2.686 6.642 2.686 -2.686 6.642 2.686 2.686 -6.642" Properties=species:S:1:pos:R:3 pbc="T T T"
Sr 2.686 0.000 3.321
Sr 0.000 2.686 3.321
Sn 0.000 0.000 1.364
Sn 0.000 0.000 11.921
Pb 0.000 0.000 6.642
```



Record 11
A relaxed structure of Sr4Sn12Pb. Source: the Alexandria database, functional PBE.

Calculated values
* electronic total energy: -0.2779 Ry per atom
* energy of formation from the pure elements: -0.3416 eV/atom

The structure in extended XYZ format:
```
17
Lattice="-5.073 5.073 5.073 5.073 -5.073 5.073 5.073 5.073 -5.073" Properties=species:S:1:pos:R:3 pbc="T T T"
Sr 2.537 2.537 -2.537
Sr 2.537 -2.537 2.537
Sr -2.537 2.537 2.537
Sr 2.537 2.537 2.537
Sn 3.227 0.000 0.000
Sn 6.920 0.000 0.000
Sn 5.073 2.537 0.000
Sn 5.073 0.000 2.537
Sn 0.000 3.227 0.000
Sn 0.000 0.000 3.227
Sn 2.537 5.073 0.000
Sn 2.537 0.000 5.073
Sn 0.000 6.920 0.000
Sn 0.000 0.000 6.920
Sn 0.000 5.073 2.537
Sn 0.000 2.537 5.073
Pb 0.000 0.000 0.000
```



Record 12
A relaxed structure of Sr2SnPb. Source: the Alexandria database, functional PBE.

Calculated values
* electronic total energy: -0.2444 Ry per atom
* energy of formation from the pure elements: -0.5565 eV/atom
* relative energy among the computed polymorphs: 0.22 eV per formula unit

The structure in extended XYZ format:
```
4
Lattice="5.227 0.000 0.000 0.000 5.227 0.000 0.000 0.000 4.854" Properties=species:S:1:pos:R:3 pbc="T T T"
Sr 0.000 2.614 0.000
Sr 2.614 0.000 0.000
Sn 0.000 0.000 2.427
Pb 2.614 2.614 2.427
```